(1)
A relaxed structure of Th3TlCo2, computed with GGA-PBE.

Properties
Formation enthalpy at 0 K ... -0.18 eV per atom

Unit cell a=7.221 b=3.877 c=10.686 alpha=90.00 beta=90.00 gamma=90.00
Sites, in units of the cell vectors:
Th1 0.000 0.000 0.000
Th2 0.001 0.500 0.290
Th3 0.499 0.500 0.290
Th4 0.500 0.000 0.000
Th5 0.501 0.500 0.710
Th6 0.999 0.500 0.710
Tl1 0.250 0.000 0.500
Tl2 0.750 0.000 0.500
Co1 0.250 0.000 0.772
Co2 0.250 0.500 0.093
Co3 0.750 0.000 0.228
Co4 0.750 0.500 0.907

***

(2)
A relaxed structure of Th12TlCo6, computed with GGA-PBE.

Properties
Formation enthalpy at 0 K ... -0.21 eV per atom

Unit cell a=8.635 b=8.635 c=8.635 alpha=109.47 beta=109.47 gamma=109.47
Sites, in units of the cell vectors:
Th1 0.136 0.316 0.820
Th2 0.180 0.495 0.316
Th3 0.180 0.864 0.684
Th4 0.316 0.180 0.495
Th5 0.316 0.820 0.136
Th6 0.495 0.316 0.180
Th7 0.505 0.684 0.820
Th8 0.684 0.180 0.864
Th9 0.684 0.820 0.505
Th10 0.820 0.136 0.316
Th11 0.820 0.505 0.684
Th12 0.864 0.684 0.180
Tl1 0.000 0.000 0.000
Co1 0.133 0.500 0.633
Co2 0.367 0.867 0.500
Co3 0.500 0.367 0.867
Co4 0.500 0.633 0.133
Co5 0.633 0.133 0.500
Co6 0.867 0.500 0.367

***

(3)
A relaxed structure of Th2TlCo, computed with GGA-PBE.

Properties
Formation enthalpy at 0 K ... -0.18 eV per atom
ΔE to the lowest computed polymorph ... 24 meV per atom

Unit cell a=8.884 b=8.884 c=8.884 alpha=25.15 beta=25.15 gamma=25.15
Sites, in units of the cell vectors:
Th1 0.000 0.000 0.000
Th2 0.211 0.211 0.211
Tl1 0.773 0.773 0.773
Co1 0.604 0.604 0.604

***

(4)
A relaxed structure of Th2TlCo, computed with GGA-PBE.

Properties
Formation enthalpy at 0 K ... -0.21 eV per atom
ΔE to the lowest computed polymorph ... 0 meV per atom

Unit cell a=7.788 b=7.788 c=7.215 alpha=90.00 beta=90.00 gamma=151.18
Sites, in units of the cell vectors:
Th1 0.148 0.852 0.502
Th2 0.148 0.852 0.998
Th3 0.852 0.148 0.002
Th4 0.852 0.148 0.498
Tl1 0.499 0.501 0.750
Tl2 0.501 0.499 0.250
Co1 0.305 0.695 0.750
Co2 0.695 0.305 0.250

***

(5)
A relaxed structure of Th6Tl3Co, computed with GGA-PBE.

Properties
Formation enthalpy at 0 K ... -0.04 eV per atom

Unit cell a=6.070 b=9.122 c=12.107 alpha=90.00 beta=116.40 gamma=90.00
Sites, in units of the cell vectors:
Th1 0.046 0.157 0.446
Th2 0.046 0.343 0.946
Th3 0.372 0.699 0.442
Th4 0.372 0.801 0.942
Th5 0.405 0.044 0.276
Th6 0.405 0.456 0.776
Th7 0.595 0.544 0.224
Th8 0.595 0.956 0.724
Th9 0.628 0.199 0.058
Th10 0.628 0.301 0.558
Th11 0.954 0.657 0.054
Th12 0.954 0.843 0.554
Tl1 0.000 0.000 0.000
Tl2 0.000 0.500 0.500
Tl3 0.155 0.121 0.761
Tl4 0.155 0.379 0.261
Tl5 0.845 0.621 0.739
Tl6 0.845 0.879 0.239
Co1 0.500 0.000 0.500
Co2 0.500 0.500 0.000

***

(6)
A relaxed structure of Th3Tl2Co, computed with GGA-PBE.

Properties
Formation enthalpy at 0 K ... -0.08 eV per atom

Unit cell a=7.019 b=7.019 c=8.313 alpha=97.96 beta=97.96 gamma=116.09
Sites, in units of the cell vectors:
Th1 0.046 0.433 0.789
Th2 0.176 0.176 0.183
Th3 0.433 0.046 0.789
Th4 0.567 0.954 0.211
Th5 0.824 0.824 0.817
Th6 0.954 0.567 0.211
Tl1 0.000 0.000 0.500
Tl2 0.370 0.630 0.500
Tl3 0.500 0.500 0.000
Tl4 0.630 0.370 0.500
Co1 0.174 0.826 0.000
Co2 0.826 0.174 0.000

***

Number 1: magnetization 0.000 μB/atom, calculated total energy -6.6527 eV per atom. Number 2: magnetization 0.000 μB/atom, calculated total energy -7.2613 eV per atom. Number 3: magnetization 0.000 μB/atom, calculated total energy -6.2607 eV per atom. Number 4: magnetization 0.000 μB/atom, calculated total energy -6.2849 eV per atom. Number 5: magnetization 0.000 μB/atom, calculated total energy -5.9154 eV per atom. Number 6: magnetization 0.000 μB/atom, calculated total energy -5.7674 eV per atom.